Entry from Alexandria via LeMat-Bulk: crystalline CoIrPdO6 at its relaxed geometry (PBE+U).

Unit cell a=5.1345 b=5.1345 c=8.7145 alpha=90.00 beta=90.00 gamma=120.00
Closest atoms and distances in Å follow each position.
Fractional coordinates of all 18 atoms:
Co1 0.0000 0.0000 0.0000  6 O 2.10
Co2 0.0000 0.0000 0.5000  6 O 2.10
Ir1 0.3333 0.6667 0.2500  6 O 1.96
Ir2 0.6667 0.3333 0.7500  6 O 1.96
Pd1 0.3333 0.6667 0.7500  6 O 2.02
Pd2 0.6667 0.3333 0.2500  6 O 2.02
O1 0.0102 0.3527 0.1267  1 Ir 1.96, 1 Pd 2.02, 1 Co 2.10
O2 0.0102 0.6575 0.3733  1 Ir 1.96, 1 Pd 2.02, 1 Co 2.10
O3 0.3425 0.3527 0.3733  1 Ir 1.96, 1 Pd 2.02, 1 Co 2.10
O4 0.3425 0.9898 0.1267  1 Ir 1.96, 1 Pd 2.02, 1 Co 2.10
O5 0.3527 0.0102 0.6267  1 Ir 1.96, 1 Pd 2.02, 1 Co 2.10
O6 0.3527 0.3425 0.8733  1 Ir 1.96, 1 Pd 2.02, 1 Co 2.10
O7 0.6473 0.6575 0.1267  1 Ir 1.96, 1 Pd 2.02, 1 Co 2.10
O8 0.6473 0.9898 0.3733  1 Ir 1.96, 1 Pd 2.02, 1 Co 2.10
O9 0.6575 0.0102 0.8733  1 Ir 1.96, 1 Pd 2.02, 1 Co 2.10
O10 0.6575 0.6473 0.6267  1 Ir 1.96, 1 Pd 2.02, 1 Co 2.10
O11 0.9898 0.3425 0.6267  1 Ir 1.96, 1 Pd 2.02, 1 Co 2.10
O12 0.9898 0.6473 0.8733  1 Ir 1.96, 1 Pd 2.02, 1 Co 2.10

Calculated values
- Space group: P-31c
- VASP energy: -0.220 Ha/atom